# 1
The following is a PBE-GGA calculation of ScPb2Cl after structural relaxation, from the Alexandria database.

Output
Crystal system   cubic
Energy above the lowest structure with this stoichiometry   382.1 meV per atom
E_form (uncorrected)   -293 meV per atom
Density of states at the Fermi level   1.54 states/eV/f.u.

abc: 5.317 5.317 5.317
angles: 60.00 60.00 60.00
Atoms (fractional coordinates):
Cl1 0.500 0.500 0.500
Pb1 0.000 0.000 0.000
Pb2 0.250 0.250 0.250
Sc1 0.750 0.750 0.750


# 2
The following is a PBE-GGA calculation of ScPb4Cl2 after structural relaxation, from the Alexandria database.

Output
Crystal system   tetragonal
E_form (uncorrected)   -55 meV per atom
Density of states at the Fermi level   2.28 states/eV/f.u.

abc: 5.639 5.639 9.618
angles: 72.95 72.95 90.00
Atoms (fractional coordinates):
Pb1 0.846 0.846 0.309
Pb2 0.154 0.154 0.691
Pb3 0.000 0.500 0.000
Pb4 0.500 0.000 0.000
Sc1 0.000 0.000 0.000
Cl1 0.702 0.702 0.597
Cl2 0.298 0.298 0.403


# 3
The following is a PBE-GGA calculation of Sc2PbCl after structural relaxation, from the Alexandria database.

Output
Crystal system   orthorhombic
Energy above the lowest structure with this stoichiometry   382.4 meV per atom
E_form (uncorrected)   -414 meV per atom
Density of states at the Fermi level   4.42 states/eV/f.u.

abc: 3.467 6.108 4.642
angles: 90.00 90.00 90.00
Atoms (fractional coordinates):
Cl1 0.500 0.000 0.500
Pb1 0.000 0.500 0.500
Sc1 0.000 0.000 0.000
Sc2 0.500 0.500 0.000


# 4
The following is a PBE-GGA calculation of ScPb2Cl after structural relaxation, from the Alexandria database.

Output
Crystal system   monoclinic
Energy above the lowest structure with this stoichiometry   43.1 meV per atom
E_form (uncorrected)   -633 meV per atom
Density of states at the Fermi level   3.07 states/eV/f.u.

abc: 3.466 4.248 8.673
angles: 75.35 90.00 90.00
Site moments in Bohr magnetons follow the coordinates.
Atoms (fractional coordinates):
Cl1 0.500 0.590 0.686  0.00
Pb1 0.000 0.913 0.060  0.03
Pb2 0.500 0.296 0.286  0.01
Sc1 0.000 0.701 0.469  0.25